Here is a relaxed Dy8GeSb3Te4 crystal from Alexandria. Energies are from PBE.

```
Dy8GeSb3Te4
1.0
4.3485 2.5106 7.1316
-4.3485 2.5106 7.1316
0.0000 -5.0213 7.1316
Dy Ge Sb Te
8 1 3 4
Direct
0.2462 0.2462 0.2462
0.2575 0.7362 0.7362
0.2638 0.2638 0.7425
0.2638 0.7425 0.2638
0.7362 0.2575 0.7362
0.7362 0.7362 0.2575
0.7425 0.2638 0.2638
0.7538 0.7538 0.7538
0.5000 0.5000 0.5000
0.0000 0.0000 0.5000
0.0000 0.5000 0.0000
0.5000 0.0000 0.0000
0.0000 0.0000 0.0000
0.0000 0.5000 0.5000
0.5000 0.0000 0.5000
0.5000 0.5000 0.0000
```

Computed properties:
Density ... 7.99 Mg/m³
Formation energy from raw total energies ... -1.2474 eV per atom
M_tot ... 0.00 μB per cell

=====

Here is a relaxed Dy8Ge3SbTe4 crystal from Alexandria. Energies are from PBE.

```
Dy8Ge3SbTe4
1.0
4.2804 2.4713 7.0994
-4.2804 2.4713 7.0994
0.0000 -4.9426 7.0994
Dy Ge Sb Te
8 3 1 4
Direct
0.2297 0.7473 0.7473
0.2401 0.2401 0.2401
0.2527 0.2527 0.7703
0.2527 0.7703 0.2527
0.7473 0.2297 0.7473
0.7473 0.7473 0.2297
0.7599 0.7599 0.7599
0.7703 0.2527 0.2527
0.0000 0.0000 0.5000
0.0000 0.5000 0.0000
0.5000 0.0000 0.0000
0.5000 0.5000 0.5000
0.0000 0.0000 0.0000
0.0000 0.5000 0.5000
0.5000 0.0000 0.5000
0.5000 0.5000 0.0000
```

Computed properties:
Density ... 7.92 Mg/m³
Formation energy from raw total energies ... -1.2168 eV per atom
M_tot ... 0.00 μB per cell

=====

Here is a relaxed DyScGe2 crystal from Alexandria. Energies are from PBE.

```
DyScGe2
1.0
3.8749 0.0000 0.0000
0.0000 5.6232 0.0000
0.0000 0.0000 7.7512
Dy Sc Ge
2 2 4
Direct
0.0000 0.1305 0.0000
0.0000 0.8695 0.5000
0.5000 0.3704 0.6374
0.5000 0.6296 0.1374
0.0000 0.3994 0.3613
0.0000 0.6006 0.8613
0.5000 0.1037 0.2771
0.5000 0.8963 0.7771
```

Computed properties:
E_form ... -18.85 kcal/mol of atoms
Density ... 6.94 Mg/m³
M_tot ... 0.00 μB per cell

=====

Here is a relaxed Dy2ScGe3 crystal from Alexandria. Energies are from PBE.

```
Dy2ScGe3
1.0
-2.3222 2.8833 5.2186
2.3222 -2.8833 5.2186
2.3222 2.8833 -5.2186
Dy Sc Ge
2 1 3
Direct
0.1752 0.1752 0.0000
0.8248 0.8248 0.0000
0.5000 0.5000 0.0000
0.0000 0.5000 0.5000
0.3606 0.8606 0.5000
0.6394 0.1394 0.5000
```

Computed properties:
E_form ... -15.33 kcal/mol of atoms
Density ... 6.98 Mg/m³
M_tot ... 0.00 μB per cell

=====

Here is a relaxed DyScGe2 crystal from Alexandria. Energies are from PBE.

```
DyScGe2
1.0
5.1878 0.0000 0.0000
0.0000 5.1878 0.0000
0.0000 0.0000 3.1339
Dy Sc Ge
1 1 2
Direct
0.0000 0.0000 0.0000
0.5000 0.5000 0.0000
0.0000 0.5000 0.5000
0.5000 0.0000 0.5000
```

Computed properties:
E_form ... -12.93 kcal/mol of atoms
Density ... 6.94 Mg/m³
M_tot ... 0.29 μB per cell

=====

Here is a relaxed DySc2Ge crystal from Alexandria. Energies are from PBE.

```
DySc2Ge
1.0
4.4556 0.0000 0.0000
0.0000 4.4556 0.0000
0.0000 0.0000 4.4696
Dy Sc Ge
1 2 1
Direct
0.0000 0.0000 0.0000
0.0000 0.5000 0.5000
0.5000 0.0000 0.5000
0.5000 0.5000 0.0000
```

Computed properties:
ΔE to the lowest computed polymorph ... 0.134 eV/atom
E_form ... -8.32 kcal/mol of atoms
Density ... 6.08 Mg/m³
M_tot ... 0.77 μB per cell

=====

Here is a relaxed DyScGe2 crystal from Alexandria. Energies are from PBE.

```
DyScGe2
1.0
2.2335 1.2895 5.0891
-2.2335 1.2895 5.0891
0.0000 -2.5790 5.0891
Dy Sc Ge
1 1 2
Direct
0.0000 0.0000 0.0000
0.5000 0.5000 0.5000
0.2404 0.2404 0.2404
0.7596 0.7596 0.7596
```

Computed properties:
E_form ... -15.98 kcal/mol of atoms
Density ... 6.66 Mg/m³
M_tot ... 0.00 μB per cell

=====

Here is a relaxed DySc2Ge crystal from Alexandria. Energies are from PBE.

```
DySc2Ge
1.0
1.6726 0.9657 10.4221
-1.6726 0.9657 10.4221
0.0000 -1.9313 10.4221
Dy Sc Ge
1 2 1
Direct
0.0000 0.0000 0.0000
0.1034 0.1034 0.1034
0.8966 0.8966 0.8966
0.5000 0.5000 0.5000
```

Computed properties:
ΔE to the lowest computed polymorph ... 0.461 eV/atom
E_form ... -0.78 kcal/mol of atoms
Density ... 5.34 Mg/m³
M_tot ... 0.00 μB per cell

=====

Here is a relaxed Dy5ScGe4 crystal from Alexandria. Energies are from PBE.

```
Dy5ScGe4
1.0
7.6296 -2.4257 0.0000
7.6296 2.4257 0.0000
-0.0077 0.0000 6.8147
Dy Sc Ge
5 1 4
Direct
0.0000 0.0000 0.0000
0.3355 0.3355 0.0017
0.3362 0.3362 0.4934
0.6638 0.6638 0.5066
0.6645 0.6645 0.9983
0.0000 0.0000 0.5000
0.1774 0.1774 0.7488
0.4911 0.4911 0.7400
0.5089 0.5089 0.2600
0.8226 0.8226 0.2512
```

Computed properties:
E_form ... -14.35 kcal/mol of atoms
Density ... 7.56 Mg/m³
M_tot ... 0.00 μB per cell

=====

Here is a relaxed DySc2Ge crystal from Alexandria. Energies are from PBE.

```
DySc2Ge
1.0
1.9995 -5.6816 0.0000
1.9995 5.6816 0.0000
0.0000 0.0000 8.4793
Dy Sc Ge
2 4 2
Direct
0.0589 0.9411 0.7500
0.9411 0.0589 0.2500
0.3574 0.6426 0.5567
0.3574 0.6426 0.9433
0.6426 0.3574 0.0567
0.6426 0.3574 0.4433
0.2413 0.7587 0.2500
0.7587 0.2413 0.7500
```

Computed properties:
ΔE to the lowest computed polymorph ... 0.000 eV/atom
E_form ... -11.41 kcal/mol of atoms
Density ... 5.60 Mg/m³
M_tot ... 0.01 μB per cell

=====

Here is a relaxed Dy5Sc2Ge4 crystal from Alexandria. Energies are from PBE.

```
Dy5Sc2Ge4
1.0
-2.0745 3.5508 9.6483
2.0745 -3.5508 9.6483
2.0745 3.5508 -9.6483
Dy Sc Ge
5 2 4
Direct
0.0000 0.0000 0.0000
0.0720 0.3356 0.7364
0.4008 0.6644 0.7364
0.5992 0.3356 0.2636
0.9280 0.6644 0.2636
0.4274 0.9274 0.5000
0.5726 0.0726 0.5000
0.2890 0.7890 0.5000
0.2987 0.5000 0.7987
0.7013 0.5000 0.2013
0.7110 0.2110 0.5000
```

Computed properties:
E_form ... -12.64 kcal/mol of atoms
Density ... 6.97 Mg/m³
M_tot ... 0.00 μB per cell

=====

Here is a relaxed Dy2ScGe2 crystal from Alexandria. Energies are from PBE.

```
Dy2ScGe2
1.0
-2.1207 3.0640 4.4587
2.1207 -3.0640 4.4587
2.1207 3.0640 -4.4587
Dy Sc Ge
2 1 2
Direct
0.2002 0.2002 0.0000
0.7998 0.7998 0.0000
0.5000 0.0000 0.5000
0.2171 0.5000 0.7171
0.7829 0.5000 0.2829
```

Computed properties:
ΔE to the lowest computed polymorph ... 0.000 eV/atom
E_form ... -17.72 kcal/mol of atoms
Density ... 7.38 Mg/m³
M_tot ... 0.00 μB per cell